# 1
# B3SeO | Alexandria via LeMat-Bulk | PBE | relaxed
# * DOS at the Fermi energy: 1.9 states/eV per cell
# * ΔE_f (raw): 2.34 eV/atom
# * electronic total energy: -3.353 eV per atom
# * energy relative to the lowest polymorph listed for this composition: 538 meV per atom
data_B3SeO
_cell_length_a 4.0787
_cell_length_b 4.0787
_cell_length_c 4.0787
_cell_angle_alpha 90.00
_cell_angle_beta 90.00
_cell_angle_gamma 90.00
_symmetry_space_group_name_H-M 'P m -3 m'
_symmetry_Int_Tables_number 221
_symmetry_space_group_name_Hall '-P 4 2 3'
loop_
_atom_site_label
_atom_site_type_symbol
_atom_site_fract_x
_atom_site_fract_y
_atom_site_fract_z
B1 B 0.0000 0.0000 0.5000
Se1 Se 0.0000 0.0000 0.0000
O1 O 0.5000 0.5000 0.5000

# 2
# BSeO2 | Alexandria via LeMat-Bulk | PBE | relaxed
# * DOS at the Fermi energy: 5.2 states/eV per cell
# * ΔE_f (raw): -0.89 eV/atom
# * electronic total energy: -5.905 eV per atom
# * energy relative to the lowest polymorph listed for this composition: 0 meV per atom
data_BSeO2
_cell_length_a 4.8320
_cell_length_b 4.8320
_cell_length_c 6.7705
_cell_angle_alpha 90.00
_cell_angle_beta 90.00
_cell_angle_gamma 90.00
_symmetry_space_group_name_H-M 'I -4 2 d'
_symmetry_Int_Tables_number 122
_symmetry_space_group_name_Hall 'I -4 2bw'
loop_
_atom_site_label
_atom_site_type_symbol
_atom_site_fract_x
_atom_site_fract_y
_atom_site_fract_z
B1 B 0.0000 0.0000 0.0000
Se1 Se 0.0000 0.0000 0.5000
O1 O 0.0017 0.2500 0.1250

# 3
# B2SeO | Alexandria via LeMat-Bulk | PBE | relaxed
# * DOS at the Fermi energy: 0.1 states/eV per cell
# * ΔE_f (raw): 0.50 eV/atom
# * electronic total energy: -4.948 eV per atom
# * energy relative to the lowest polymorph listed for this composition: 0 meV per atom
data_B2SeO
_cell_length_a 4.0326
_cell_length_b 4.0326
_cell_length_c 10.3114
_cell_angle_alpha 90.00
_cell_angle_beta 90.00
_cell_angle_gamma 90.00
_symmetry_space_group_name_H-M 'I -4 2 d'
_symmetry_Int_Tables_number 122
_symmetry_space_group_name_Hall 'I -4 2bw'
loop_
_atom_site_label
_atom_site_type_symbol
_atom_site_fract_x
_atom_site_fract_y
_atom_site_fract_z
B1 B 0.1529 0.2500 0.1250
Se1 Se 0.0000 0.0000 0.5000
O1 O 0.0000 0.0000 0.0000

# 4
# B3SeO | Alexandria via LeMat-Bulk | PBE | relaxed
# * DOS at the Fermi energy: 3.8 states/eV per cell
# * ΔE_f (raw): 1.80 eV/atom
# * electronic total energy: -3.891 eV per atom
# * energy relative to the lowest polymorph listed for this composition: 0 meV per atom
data_B3SeO
_cell_length_a 3.7481
_cell_length_b 3.7481
_cell_length_c 3.7481
_cell_angle_alpha 90.00
_cell_angle_beta 90.00
_cell_angle_gamma 90.00
_symmetry_space_group_name_H-M 'P m -3 m'
_symmetry_Int_Tables_number 221
_symmetry_space_group_name_Hall '-P 4 2 3'
loop_
_atom_site_label
_atom_site_type_symbol
_atom_site_fract_x
_atom_site_fract_y
_atom_site_fract_z
B1 B 0.0000 0.0000 0.5000
Se1 Se 0.5000 0.5000 0.5000
O1 O 0.0000 0.0000 0.0000

# 5
# SrBSe2O8 | Alexandria via LeMat-Bulk | PBE | relaxed
# * DOS at the Fermi energy: 5.7 states/eV per cell
# * ΔE_f (raw): -1.04 eV/atom
# * electronic total energy: -5.625 eV per atom
data_SrBSe2O8
_cell_length_a 12.0022
_cell_length_b 5.3686
_cell_length_c 8.3132
_cell_angle_alpha 90.00
_cell_angle_beta 133.70
_cell_angle_gamma 90.00
_symmetry_space_group_name_H-M 'C 1 2/m 1'
_symmetry_Int_Tables_number 12
loop_
_symmetry_equiv_pos_as_xyz
'x,y,z'
'-x,-y,-z'
'-x,y,-z'
'x,-y,z'
'x+1/2,y+1/2,z'
'-x+1/2,-y+1/2,-z'
'-x+1/2,y+1/2,-z'
'x+1/2,-y+1/2,z'
loop_
_atom_site_label
_atom_site_type_symbol
_atom_site_fract_x
_atom_site_fract_y
_atom_site_fract_z
Sr1 Sr 0.0000 0.0000 0.0000
B1 B 0.0000 0.5000 0.5000
Se1 Se 0.1710 0.0000 0.7192
O1 O 0.1243 0.0000 0.8669
O2 O 0.1309 0.3150 0.5919
O3 O 0.1396 0.5000 0.1181

# 6
# TlB2SeO8 | Alexandria via LeMat-Bulk | PBE | relaxed
# * DOS at the Fermi energy: 9.5 states/eV per cell
# * ΔE_f (raw): -1.08 eV/atom
# * electronic total energy: -5.986 eV per atom
data_TlB2SeO8
_cell_length_a 7.4879
_cell_length_b 4.9729
_cell_length_c 6.8367
_cell_angle_alpha 90.00
_cell_angle_beta 93.36
_cell_angle_gamma 90.00
_symmetry_space_group_name_H-M 'C 1 2/m 1'
_symmetry_Int_Tables_number 12
loop_
_symmetry_equiv_pos_as_xyz
'x,y,z'
'-x,-y,-z'
'-x,y,-z'
'x,-y,z'
'x+1/2,y+1/2,z'
'-x+1/2,-y+1/2,-z'
'-x+1/2,y+1/2,-z'
'x+1/2,-y+1/2,z'
loop_
_atom_site_label
_atom_site_type_symbol
_atom_site_fract_x
_atom_site_fract_y
_atom_site_fract_z
Tl1 Tl 0.0000 0.0000 0.0000
B1 B 0.1584 0.5000 0.7067
Se1 Se 0.0000 0.0000 0.5000
O1 O 0.0357 0.2543 0.6959
O2 O 0.2271 0.5000 0.9072
O3 O 0.2338 0.0000 0.4623

# 7
# Tl2B2SeO6 | Alexandria via LeMat-Bulk | PBE | relaxed
# * DOS at the Fermi energy: 7.0 states/eV per cell
# * ΔE_f (raw): -1.31 eV/atom
# * electronic total energy: -5.975 eV per atom
data_Tl2B2SeO6
_cell_length_a 10.8677
_cell_length_b 5.1565
_cell_length_c 5.9861
_cell_angle_alpha 90.00
_cell_angle_beta 115.58
_cell_angle_gamma 90.00
_symmetry_space_group_name_H-M 'C 1 2/m 1'
_symmetry_Int_Tables_number 12
loop_
_symmetry_equiv_pos_as_xyz
'x,y,z'
'-x,-y,-z'
'-x,y,-z'
'x,-y,z'
'x+1/2,y+1/2,z'
'-x+1/2,-y+1/2,-z'
'-x+1/2,y+1/2,-z'
'x+1/2,-y+1/2,z'
loop_
_atom_site_label
_atom_site_type_symbol
_atom_site_fract_x
_atom_site_fract_y
_atom_site_fract_z
Tl1 Tl 0.1959 0.0000 0.2458
B1 B 0.0172 0.5000 0.7517
Se1 Se 0.0000 0.0000 0.5000
O1 O 0.0921 0.2714 0.7645
O2 O 0.1140 0.5000 0.2816

# 8
# ZrB2SeO | Alexandria via LeMat-Bulk | PBE | relaxed
# * DOS at the Fermi energy: 3.2 states/eV per cell
# * ΔE_f (raw): 1.13 eV/atom
# * electronic total energy: -4.935 eV per atom
data_ZrB2SeO
_cell_length_a 3.8019
_cell_length_b 3.8019
_cell_length_c 5.2989
_cell_angle_alpha 90.00
_cell_angle_beta 90.00
_cell_angle_gamma 90.00
_symmetry_space_group_name_H-M 'P 4/m m m'
_symmetry_Int_Tables_number 123
_symmetry_space_group_name_Hall '-P 4 2'
loop_
_atom_site_label
_atom_site_type_symbol
_atom_site_fract_x
_atom_site_fract_y
_atom_site_fract_z
Zr1 Zr 0.0000 0.0000 0.0000
B1 B 0.0000 0.5000 0.5000
Se1 Se 0.0000 0.0000 0.5000
O1 O 0.5000 0.5000 0.0000

# 9
# SiBO2 | Alexandria via LeMat-Bulk | PBE | relaxed
# * DOS at the Fermi energy: 0.6 states/eV per cell
# * ΔE_f (raw): -1.13 eV/atom
# * electronic total energy: -6.630 eV per atom
# * energy relative to the lowest polymorph listed for this composition: 0 meV per atom
data_SiBO2
_cell_length_a 2.4907
_cell_length_b 2.4907
_cell_length_c 16.9555
_cell_angle_alpha 90.00
_cell_angle_beta 90.00
_cell_angle_gamma 120.00
_symmetry_space_group_name_H-M 'R -3 m'
_symmetry_Int_Tables_number 166
_symmetry_space_group_name_Hall '-R 3 2"'
loop_
_atom_site_label
_atom_site_type_symbol
_atom_site_fract_x
_atom_site_fract_y
_atom_site_fract_z
Si1 Si 0.0000 0.0000 0.0000
B1 B 0.0000 0.0000 0.5000
O1 O 0.0000 0.0000 0.1149

# 10
# SiB2O5 | Alexandria via LeMat-Bulk | PBE | relaxed
# * DOS at the Fermi energy: 0.0 states/eV per cell
# * ΔE_f (raw): -2.00 eV/atom
# * electronic total energy: -7.442 eV per atom
data_SiB2O5
_cell_length_a 8.6556
_cell_length_b 4.7705
_cell_length_c 4.9209
_cell_angle_alpha 90.00
_cell_angle_beta 108.96
_cell_angle_gamma 90.00
_symmetry_space_group_name_H-M 'C 1 m 1'
_symmetry_Int_Tables_number 8
loop_
_symmetry_equiv_pos_as_xyz
'x,y,z'
'x,-y,z'
'x+1/2,y+1/2,z'
'x+1/2,-y+1/2,z'
loop_
_atom_site_label
_atom_site_type_symbol
_atom_site_fract_x
_atom_site_fract_y
_atom_site_fract_z
Si1 Si 0.0000 0.0000 0.0000
B1 B 0.0565 0.0000 0.4665
B2 B 0.1389 0.5000 0.8114
O1 O 0.0459 0.2295 0.2932
O2 O 0.0574 0.2392 0.7834
O3 O 0.3002 0.5000 0.8588

# 11
# SiBO2 | Alexandria via LeMat-Bulk | PBE | relaxed
# * DOS at the Fermi energy: 7.4 states/eV per cell
# * ΔE_f (raw): 0.67 eV/atom
# * electronic total energy: -4.836 eV per atom
# * energy relative to the lowest polymorph listed for this composition: 1794 meV per atom
data_SiBO2
_cell_length_a 5.2096
_cell_length_b 5.2096
_cell_length_c 5.2096
_cell_angle_alpha 90.00
_cell_angle_beta 90.00
_cell_angle_gamma 90.00
_symmetry_space_group_name_H-M 'F m -3 m'
_symmetry_Int_Tables_number 225
_symmetry_space_group_name_Hall '-F 4 2 3'
loop_
_atom_site_label
_atom_site_type_symbol
_atom_site_fract_x
_atom_site_fract_y
_atom_site_fract_z
Si1 Si 0.0000 0.0000 0.0000
B1 B 0.0000 0.0000 0.5000
O1 O 0.2500 0.2500 0.2500

# 12
# SiBO2 | Alexandria via LeMat-Bulk | PBE | relaxed
# * DOS at the Fermi energy: 2.0 states/eV per cell
# * ΔE_f (raw): -0.83 eV/atom
# * electronic total energy: -6.332 eV per atom
# * energy relative to the lowest polymorph listed for this composition: 298 meV per atom
data_SiBO2
_cell_length_a 2.6046
_cell_length_b 2.6046
_cell_length_c 23.0702
_cell_angle_alpha 90.00
_cell_angle_beta 90.00
_cell_angle_gamma 120.00
_symmetry_space_group_name_H-M 'R -3 m'
_symmetry_Int_Tables_number 166
_symmetry_space_group_name_Hall '-R 3 2"'
loop_
_atom_site_label
_atom_site_type_symbol
_atom_site_fract_x
_atom_site_fract_y
_atom_site_fract_z
Si1 Si 0.0000 0.0000 0.0000
B1 B 0.0000 0.0000 0.5000
O1 O 0.0000 0.0000 0.3739

Please write out number 1 again, unchanged.
# B3SeO | Alexandria via LeMat-Bulk | PBE | relaxed
# * DOS at the Fermi energy: 1.9 states/eV per cell
# * ΔE_f (raw): 2.34 eV/atom
# * electronic total energy: -3.353 eV per atom
# * energy relative to the lowest polymorph listed for this composition: 538 meV per atom
data_B3SeO
_cell_length_a 4.0787
_cell_length_b 4.0787
_cell_length_c 4.0787
_cell_angle_alpha 90.00
_cell_angle_beta 90.00
_cell_angle_gamma 90.00
_symmetry_space_group_name_H-M 'P m -3 m'
_symmetry_Int_Tables_number 221
_symmetry_space_group_name_Hall '-P 4 2 3'
loop_
_atom_site_label
_atom_site_type_symbol
_atom_site_fract_x
_atom_site_fract_y
_atom_site_fract_z
B1 B 0.0000 0.0000 0.5000
Se1 Se 0.0000 0.0000 0.0000
O1 O 0.5000 0.5000 0.5000